! TlSbAsI2, relaxed, DFT PBE; values from VASP
! E_form (uncorrected) = 0.6 eV per formula unit
! Size of the total moment = 0.27 Bohr magnetons per cell
&SYSTEM
  ibrav = 0, nat = 5, ntyp = 4
/
ATOMIC_SPECIES
I 126.90 I.upf
Sb 121.76 Sb.upf
Tl 204.38 Tl.upf
As 74.92 As.upf
CELL_PARAMETERS angstrom
-3.903 2.304 -3.873
-3.207 -5.020 0.245
-2.855 2.022 4.080
ATOMIC_POSITIONS angstrom
I -1.603 -2.510 0.122
I -1.951 1.152 -1.937
Sb -1.427 1.011 2.040
Tl -4.982 -0.347 0.226
As 0.000 0.000 0.000


! TlSb2AsI, relaxed, DFT PBE; values from VASP
! E_form (uncorrected) = 5.1 eV per formula unit
! Size of the total moment = 0.16 Bohr magnetons per cell
&SYSTEM
  ibrav = 0, nat = 5, ntyp = 4
/
ATOMIC_SPECIES
I 126.90 I.upf
Sb 121.76 Sb.upf
Tl 204.38 Tl.upf
As 74.92 As.upf
CELL_PARAMETERS angstrom
5.825 0.000 0.000
0.000 5.825 0.000
0.000 0.000 5.929
ATOMIC_POSITIONS angstrom
I 0.000 0.000 2.965
Sb 0.000 2.913 0.000
Sb 2.913 0.000 0.000
Tl 0.000 0.000 0.000
As 2.913 2.913 2.965


! TlSb2AsI, relaxed, DFT PBE; values from VASP
! E_form (uncorrected) = 1.8 eV per formula unit
! Size of the total moment = 0.65 Bohr magnetons per cell
&SYSTEM
  ibrav = 0, nat = 5, ntyp = 4
/
ATOMIC_SPECIES
I 126.90 I.upf
Sb 121.76 Sb.upf
Tl 204.38 Tl.upf
As 74.92 As.upf
CELL_PARAMETERS angstrom
-0.699 3.776 -3.814
-4.542 -2.465 -1.608
-3.228 3.379 3.936
ATOMIC_POSITIONS angstrom
I -1.614 1.689 1.968
Sb -2.271 -1.232 -0.804
Sb -0.349 1.888 -1.907
Tl -4.234 2.345 -0.743
As 0.000 0.000 0.000


! TlSbAsI2, relaxed, DFT PBE; values from VASP
! E_form (uncorrected) = 3.7 eV per formula unit
! Size of the total moment = 1.08 Bohr magnetons per cell
&SYSTEM
  ibrav = 0, nat = 5, ntyp = 4
/
ATOMIC_SPECIES
I 126.90 I.upf
Sb 121.76 Sb.upf
Tl 204.38 Tl.upf
As 74.92 As.upf
CELL_PARAMETERS angstrom
6.073 0.000 0.000
0.000 6.073 0.000
0.000 0.000 5.987
ATOMIC_POSITIONS angstrom
I 0.000 3.036 0.000
I 3.036 0.000 0.000
Sb 0.000 0.000 2.993
Tl 0.000 0.000 0.000
As 3.036 3.036 2.993


! VSbAsI2, relaxed, DFT PBE; values from VASP
! E_form (uncorrected) = 4.4 eV per formula unit
! Size of the total moment = 3.17 Bohr magnetons per cell
&SYSTEM
  ibrav = 0, nat = 5, ntyp = 4
/
ATOMIC_SPECIES
I 126.90 I.upf
Sb 121.76 Sb.upf
As 74.92 As.upf
V 50.94 V.upf
CELL_PARAMETERS angstrom
-4.845 -0.896 -2.567
1.679 -5.111 -1.385
-2.155 -2.000 4.766
ATOMIC_POSITIONS angstrom
I 0.840 -2.556 -0.693
I -2.422 -0.448 -1.284
Sb -1.078 -1.000 2.383
As 0.000 0.000 0.000
V -2.660 -4.004 0.407


! VSbAsI2, relaxed, DFT PBE; values from VASP
! E_form (uncorrected) = 2.8 eV per formula unit
! Size of the total moment = 3.18 Bohr magnetons per cell
&SYSTEM
  ibrav = 0, nat = 5, ntyp = 4
/
ATOMIC_SPECIES
I 126.90 I.upf
Sb 121.76 Sb.upf
As 74.92 As.upf
V 50.94 V.upf
CELL_PARAMETERS angstrom
5.293 0.000 0.000
0.000 5.293 0.000
0.000 0.000 5.599
ATOMIC_POSITIONS angstrom
I 0.000 2.646 0.000
I 2.646 0.000 0.000
Sb 0.000 0.000 2.799
As 2.646 2.646 2.799
V 0.000 0.000 0.000


! YSb2AsI, relaxed, DFT PBE; values from VASP
! E_form (uncorrected) = 1.0 eV per formula unit
! Size of the total moment = 0.00 Bohr magnetons per cell
&SYSTEM
  ibrav = 0, nat = 5, ntyp = 4
/
ATOMIC_SPECIES
I 126.90 I.upf
Sb 121.76 Sb.upf
As 74.92 As.upf
Y 88.91 Y.upf
CELL_PARAMETERS angstrom
-5.308 -0.847 0.500
0.608 -4.984 -1.982
0.780 -1.910 5.042
ATOMIC_POSITIONS angstrom
I 0.390 -0.955 2.521
Sb 0.304 -2.492 -0.991
Sb -2.654 -0.423 0.250
As 0.000 0.000 0.000
Y -1.960 -3.870 1.780


! YSb2AsI, relaxed, DFT PBE; values from VASP
! E_form (uncorrected) = 2.2 eV per formula unit
! Size of the total moment = 0.81 Bohr magnetons per cell
&SYSTEM
  ibrav = 0, nat = 5, ntyp = 4
/
ATOMIC_SPECIES
I 126.90 I.upf
Sb 121.76 Sb.upf
As 74.92 As.upf
Y 88.91 Y.upf
CELL_PARAMETERS angstrom
5.946 0.000 0.000
0.000 5.946 0.000
0.000 0.000 5.807
ATOMIC_POSITIONS angstrom
I 0.000 0.000 2.903
Sb 0.000 2.973 0.000
Sb 2.973 0.000 0.000
As 2.973 2.973 2.903
Y 0.000 0.000 0.000


! ZnSb2AsI, relaxed, DFT PBE; values from VASP
! E_form (uncorrected) = 3.4 eV per formula unit
! Size of the total moment = 0.85 Bohr magnetons per cell
&SYSTEM
  ibrav = 0, nat = 5, ntyp = 4
/
ATOMIC_SPECIES
I 126.90 I.upf
Sb 121.76 Sb.upf
As 74.92 As.upf
Zn 65.41 Zn.upf
CELL_PARAMETERS angstrom
-4.513 2.839 1.148
0.693 -1.044 5.308
3.152 4.795 0.532
ATOMIC_POSITIONS angstrom
I 1.576 2.398 0.266
Sb 0.346 -0.522 2.654
Sb -2.257 1.420 0.574
As 0.000 0.000 0.000
Zn -0.334 3.295 3.494


! ZnSb2AsI, relaxed, DFT PBE; values from VASP
! E_form (uncorrected) = 3.5 eV per formula unit
! Size of the total moment = 0.00 Bohr magnetons per cell
&SYSTEM
  ibrav = 0, nat = 5, ntyp = 4
/
ATOMIC_SPECIES
I 126.90 I.upf
Sb 121.76 Sb.upf
As 74.92 As.upf
Zn 65.41 Zn.upf
CELL_PARAMETERS angstrom
-4.176 -3.122 -0.891
-0.096 -1.332 5.118
-3.228 4.035 0.990
ATOMIC_POSITIONS angstrom
I -1.614 2.018 0.495
Sb -0.048 -0.666 2.559
Sb -2.088 -1.561 -0.445
As -3.750 -0.209 2.609
Zn 0.000 0.000 0.000


! ZrSbAsI2, relaxed, DFT PBE; values from VASP
! E_form (uncorrected) = 4.4 eV per formula unit
! Size of the total moment = 0.34 Bohr magnetons per cell
&SYSTEM
  ibrav = 0, nat = 5, ntyp = 4
/
ATOMIC_SPECIES
I 126.90 I.upf
Sb 121.76 Sb.upf
As 74.92 As.upf
Zr 91.22 Zr.upf
CELL_PARAMETERS angstrom
5.903 0.000 0.000
0.000 5.778 0.000
0.000 0.000 5.903
ATOMIC_POSITIONS angstrom
I 0.000 0.000 2.952
I 2.952 0.000 0.000
Sb 0.000 0.000 0.000
As 2.952 2.889 2.952
Zr 0.000 2.889 0.000


! ZrSbAsI2, relaxed, DFT PBE; values from VASP
! E_form (uncorrected) = 3.5 eV per formula unit
! Size of the total moment = 1.52 Bohr magnetons per cell
&SYSTEM
  ibrav = 0, nat = 5, ntyp = 4
/
ATOMIC_SPECIES
I 126.90 I.upf
Sb 121.76 Sb.upf
As 74.92 As.upf
Zr 91.22 Zr.upf
CELL_PARAMETERS angstrom
-0.311 5.390 -0.312
-5.030 -0.403 -1.947
-2.035 0.185 5.219
ATOMIC_POSITIONS angstrom
I -2.515 -0.202 -0.973
I -0.156 2.695 -0.156
Sb -1.018 0.092 2.610
As 0.000 0.000 0.000
Zr -3.688 2.586 1.480


! ZrSbAsI2, relaxed, DFT PBE; values from VASP
! E_form (uncorrected) = 1.4 eV per formula unit
! Size of the total moment = 1.96 Bohr magnetons per cell
&SYSTEM
  ibrav = 0, nat = 5, ntyp = 4
/
ATOMIC_SPECIES
I 126.90 I.upf
Sb 121.76 Sb.upf
As 74.92 As.upf
Zr 91.22 Zr.upf
CELL_PARAMETERS angstrom
-2.690 0.028 4.922
-4.907 -0.451 -2.680
0.402 -5.878 0.253
ATOMIC_POSITIONS angstrom
I -2.454 -0.225 -1.340
I -1.345 0.014 2.461
Sb 0.201 -2.939 0.126
As -3.598 -3.151 1.247
Zr 0.000 0.000 0.000


! ScAsI3, relaxed, DFT PBE; values from VASP
! E_form (uncorrected) = 1.3 eV per formula unit
! Size of the total moment = 1.62 Bohr magnetons per cell
&SYSTEM
  ibrav = 0, nat = 5, ntyp = 3
/
ATOMIC_SPECIES
I 126.90 I.upf
Sc 44.96 Sc.upf
As 74.92 As.upf
CELL_PARAMETERS angstrom
-1.893 -5.053 -1.857
5.383 -1.768 -0.675
0.022 -1.976 5.354
ATOMIC_POSITIONS angstrom
I 2.692 -0.884 -0.337
I 0.011 -0.988 2.677
I -0.946 -2.527 -0.928
Sc 1.757 -4.399 1.411
As 0.000 0.000 0.000


! ScAsI3, relaxed, DFT PBE; values from VASP
! E_form (uncorrected) = -1.3 eV per formula unit
! Size of the total moment = 3.00 Bohr magnetons per cell
&SYSTEM
  ibrav = 0, nat = 5, ntyp = 3
/
ATOMIC_SPECIES
I 126.90 I.upf
Sc 44.96 Sc.upf
As 74.92 As.upf
CELL_PARAMETERS angstrom
5.785 0.000 0.000
0.000 5.785 0.000
0.000 0.000 5.785
ATOMIC_POSITIONS angstrom
I 0.000 2.892 0.000
I 0.000 0.000 2.892
I 2.892 0.000 0.000
Sc 0.000 0.000 0.000
As 2.892 2.892 2.892


! ScAs2I, relaxed, DFT PBE; values from VASP
! E_form (uncorrected) = -0.9 eV per formula unit
! Size of the total moment = 0.00 Bohr magnetons per cell
&SYSTEM
  ibrav = 0, nat = 8, ntyp = 3
/
ATOMIC_SPECIES
I 126.90 I.upf
Sc 44.96 Sc.upf
As 74.92 As.upf
CELL_PARAMETERS angstrom
4.894 0.000 0.000
0.000 4.894 0.000
2.447 2.447 9.800
ATOMIC_POSITIONS angstrom
I 0.000 0.000 0.000
I 4.894 2.447 4.900
Sc 2.447 2.447 0.000
Sc 2.447 4.894 4.900
As 2.660 1.223 2.450
As 2.233 3.670 2.450
As 3.670 4.680 7.350
As 6.117 5.107 7.350


! Sc7AsI12, relaxed, DFT PBE; values from VASP
! E_form (uncorrected) = -23.4 eV per formula unit
! Size of the total moment = 0.11 Bohr magnetons per cell
&SYSTEM
  ibrav = 0, nat = 20, ntyp = 3
/
ATOMIC_SPECIES
Sc 44.96 Sc.upf
As 74.92 As.upf
I 126.90 I.upf
CELL_PARAMETERS angstrom
-3.422 -7.125 -5.037
9.286 -1.102 0.644
-3.593 -0.568 8.638
ATOMIC_POSITIONS angstrom
Sc -0.073 -8.184 3.344
Sc -0.219 -2.282 -1.192
Sc -1.141 -0.917 2.129
Sc 1.135 -4.397 2.122
Sc 3.411 -7.878 2.116
Sc 2.490 -6.513 5.437
Sc 2.343 -0.610 0.901
As 0.000 0.000 0.000
I -3.062 -7.359 2.259
I -0.560 -5.200 -2.662
I -1.518 -3.672 1.099
I 0.888 -7.004 0.799
I -2.525 -2.068 4.877
I -0.135 -5.461 4.544
I 2.406 -3.334 -0.300
I 4.796 -6.726 -0.632
I 1.383 -1.790 3.446
I 3.788 -5.123 3.146
I 2.831 -3.595 6.907
I 5.332 -1.435 1.986


! Sc3AsI, relaxed, DFT PBE; values from VASP
! E_form (uncorrected) = -1.3 eV per formula unit
! Size of the total moment = 0.02 Bohr magnetons per cell
&SYSTEM
  ibrav = 0, nat = 5, ntyp = 3
/
ATOMIC_SPECIES
I 126.90 I.upf
Sc 44.96 Sc.upf
As 74.92 As.upf
CELL_PARAMETERS angstrom
-4.213 2.454 -1.619
-2.211 -0.780 4.572
1.938 4.446 1.695
ATOMIC_POSITIONS angstrom
I -2.243 3.060 2.324
Sc -1.106 -0.390 2.286
Sc 0.969 2.223 0.848
Sc -2.107 1.227 -0.810
As 0.000 0.000 0.000


! Sc4AsI5, relaxed, DFT PBE; values from VASP
! E_form (uncorrected) = -11.4 eV per formula unit
! Size of the total moment = 0.00 Bohr magnetons per cell
&SYSTEM
  ibrav = 0, nat = 10, ntyp = 3
/
ATOMIC_SPECIES
Sc 44.96 Sc.upf
As 74.92 As.upf
I 126.90 I.upf
CELL_PARAMETERS angstrom
-0.843 0.944 -3.823
-5.855 -5.968 -0.182
-4.324 6.926 4.785
ATOMIC_POSITIONS angstrom
Sc -2.184 2.138 -1.112
Sc -1.204 -1.220 -0.036
Sc -8.837 -0.236 1.891
Sc -9.818 3.122 0.815
As -0.422 0.472 -1.912
I -3.498 0.444 0.881
I -6.479 -2.471 0.819
I -4.543 4.373 -0.040
I -3.349 -2.512 -2.003
I -7.523 1.458 -0.102


! Sc3AsI3, relaxed, DFT PBE; values from VASP
! E_form (uncorrected) = -7.9 eV per formula unit
! Size of the total moment = 0.00 Bohr magnetons per cell
&SYSTEM
  ibrav = 0, nat = 28, ntyp = 3
/
ATOMIC_SPECIES
Sc 44.96 Sc.upf
As 74.92 As.upf
I 126.90 I.upf
CELL_PARAMETERS angstrom
-6.375 4.754 -6.155
0.028 -9.825 -2.141
-2.911 1.345 9.531
ATOMIC_POSITIONS angstrom
Sc -6.731 0.154 -4.730
Sc -4.126 2.403 -0.715
Sc -2.982 1.606 2.960
Sc -6.275 -2.693 -7.402
Sc -7.545 3.024 -2.171
Sc -5.060 3.511 -4.370
Sc -6.012 -0.365 -0.900
Sc -5.567 -3.389 -4.198
Sc -3.538 -0.056 -3.725
Sc -2.382 -0.676 0.576
Sc -6.811 1.784 2.089
Sc -5.503 -1.193 2.908
As -4.767 -1.347 -5.686
As -4.636 0.593 1.153
As -5.502 1.445 -2.769
As -0.728 0.336 2.383
I -4.440 -7.284 5.819
I -6.935 -2.828 0.892
I -6.031 -3.650 4.862
I -2.914 -1.101 8.949
I -2.319 -5.801 -0.774
I -3.882 -2.243 -1.753
I -3.760 -0.269 5.121
I -3.063 -3.092 2.153
I -6.217 -5.554 -1.957
I -2.215 -3.900 6.063
I -1.470 -6.703 3.192
I -5.315 -6.399 1.932